[1]
Entry from Alexandria: an optimized crystal structure of CrTc2SbN (PBE).

Cell lengths 4.1723, 4.1723, 3.9116 Å; angles 90.00, 90.00, 90.00 degrees
Closest atoms and distances in Å follow each position.
Space group P4/mmm (No. 123)
Symmetry-distinct sites (fractional):
Cr (0.0000, 0.0000, 0.0000)  2 N 1.96
Tc (0.0000, 0.5000, 0.5000)  2 N 2.09
Sb (0.5000, 0.5000, 0.0000)  8 Tc 2.86, 4 Cr 2.95
N (0.0000, 0.0000, 0.5000)  2 Cr 1.96, 4 Tc 2.09

## Properties
ΔE_f (raw)   -0.0043 eV per atom



[2]
Entry from Alexandria: an optimized crystal structure of ScTlAg2I6 (PBE).

Cell lengths 7.7489, 7.7687, 8.4349 Å; angles 62.75, 62.72, 60.09 degrees
Closest atoms and distances in Å follow each position.
Space group P1 (No. 1)
Symmetry-distinct sites (fractional):
Sc (0.0000, 0.0000, 0.0000)  6 I 2.90-2.94
Tl (0.4845, 0.4839, 0.5490)  6 I 3.40-3.57
Ag (0.1816, 0.1854, 0.4478)  6 I 3.05-3.21
Ag (0.6615, 0.6590, 0.0166)  6 I 3.06-3.11
I (0.0281, 0.4008, 0.7541)  1 Sc 2.90, 2 Ag 3.10-3.17
I (0.2392, 0.9337, 0.2240)  1 Sc 2.94, 2 Ag 3.05-3.09
I (0.4030, 0.8149, 0.7562)  1 Sc 2.90, 2 Ag 3.08-3.21
I (0.6034, 0.2385, 0.2239)  1 Sc 2.94, 2 Ag 3.06-3.07
I (0.8165, 0.0264, 0.7541)  1 Sc 2.90, 2 Ag 3.11-3.17
I (0.9333, 0.6041, 0.2220)  1 Sc 2.94, 2 Ag 3.06

## Properties
ΔE_f (raw)   -0.6619 eV per atom



[3]
Entry from Alexandria: an optimized crystal structure of BaPr3H (PBE).

Cell lengths 5.3799, 5.3799, 5.3799 Å; angles 90.00, 90.00, 90.00 degrees
Closest atoms and distances in Å follow each position.
Space group Pm-3m (No. 221)
Symmetry-distinct sites (fractional):
Ba (0.0000, 0.0000, 0.0000)  12 Pr 3.80
Pr (0.0000, 0.5000, 0.5000)  2 H 2.69
H (0.5000, 0.5000, 0.5000)  6 Pr 2.69



[4]
Entry from Alexandria: an optimized crystal structure of FeReIBr2 (PBE).

Cell lengths 5.1250, 5.1250, 5.6391 Å; angles 90.00, 90.00, 90.00 degrees
Closest atoms and distances in Å follow each position.
Space group P4/mmm (No. 123)
Symmetry-distinct sites (fractional):
Fe (0.0000, 0.0000, 0.0000)  4 I 3.62, 8 Br 3.81
Re (0.5000, 0.5000, 0.5000)  4 Br 2.56, 2 I 2.82
I (0.5000, 0.5000, 0.0000)  2 Re 2.82
Br (0.0000, 0.5000, 0.5000)  2 Re 2.56

## Properties
ΔE_f (raw)   1.0897 eV per atom



[5]
Entry from Alexandria: an optimized crystal structure of PuRhPb2 (PBE).

Cell lengths 4.7334, 4.7334, 17.3144 Å; angles 90.00, 90.00, 90.00 degrees
Closest atoms and distances in Å follow each position.
Space group I4/mmm (No. 139)
Symmetry-distinct sites (fractional):
Pu (0.0000, 0.0000, 0.1468)  4 Rh 2.97
Rh (0.0000, 0.5000, 0.2500)  4 Pb 2.93, 4 Pu 2.97
Pb (0.0000, 0.0000, 0.3499)  4 Rh 2.93
Pb (0.0000, 0.5000, 0.0000)  8 Pb 3.35-3.52, 4 Pu 3.47

## Properties
Formation enthalpy at 0 K   -0.21 eV per atom



| no. | total DFT energy (no corrections) (eV per atom) | spin magnetization (μB/f.u.) |
| --- | --- | --- |
| 1 | -8.56 | 1.87 |
| 2 | -3.03 | 0.00 |
| 3 | -3.96 | 0.00 |
| 4 | -4.07 | 6.91 |
| 5 | -7.48 | 4.98 |